1.
Material: NaInBi
Method: DFT, PBE
State: relaxed

POSCAR file:
```
NaInBi
1.0
5.3319 0.0000 0.0000
0.0000 5.3319 0.0000
0.0000 0.0000 7.1811
Na In Bi
2 2 2
Cartesian
1.3330 1.3330 1.3220
3.9989 3.9989 5.8591
1.3330 3.9989 3.5905
3.9989 1.3330 3.5905
1.3330 1.3330 5.2413
3.9989 3.9989 1.9398
```

## Properties
formation energy	-155	meV/atom
Fermi-level density of states	0.93	states/eV/f.u.
final energy	-16.8	eV per cell
total moment	0.0	μB/cell
energy relative to the lowest polymorph listed for this composition	19.1	meV/atom
space group	No. 129

---

2.
Material: NaIn6Bi2
Method: DFT, PBE
State: relaxed

POSCAR file:
```
NaIn6Bi2
1.0
7.6052 -2.4850 0.0000
7.6052 2.4850 0.0000
-2.5609 0.0000 6.7913
Na In Bi
1 6 2
Cartesian
0.0000 0.0000 0.0000
-0.0604 0.0000 4.5871
2.5129 0.0000 2.2409
2.4523 0.0000 6.7769
10.1971 0.0000 0.0144
10.1365 0.0000 4.5504
12.7098 0.0000 2.2042
4.9513 0.0000 4.4203
7.6981 0.0000 2.3710
```

## Properties
formation energy	-32	meV/atom
Fermi-level density of states	3.62	states/eV/f.u.
final energy	-25.8	eV per cell
total moment	0.0	μB/cell
energy relative to the lowest polymorph listed for this composition	0.0	meV/atom
space group	No. 12

---

3.
Material: NaIn8Bi6
Method: DFT, PBE
State: relaxed

POSCAR file:
```
NaIn8Bi6
1.0
4.4470 2.5675 7.2718
-4.4470 2.5675 7.2718
0.0000 -5.1350 7.2718
Na In Bi
1 8 6
Cartesian
0.0000 0.0000 0.0000
-1.4461 -2.6017 9.8608
-2.9762 -0.0485 11.9547
0.0000 0.0000 7.2896
-1.5301 2.5532 9.8608
1.5301 -2.5532 11.9547
0.0000 0.0000 14.5259
2.9762 0.0485 9.8608
1.4461 2.6017 11.9547
-2.9530 -0.0513 8.8070
-1.4321 -2.5830 13.0085
1.5209 -2.5318 8.8070
-1.5209 2.5318 13.0085
1.4321 2.5830 8.8070
2.9530 0.0513 13.0085
```

## Properties
formation energy	-7	meV/atom
Fermi-level density of states	4.35	states/eV/f.u.
final energy	-46.6	eV per cell
total moment	0.0	μB/cell
space group	No. 148